Entry 1:
Entry from Alexandria via LeMat-Bulk: an optimized crystal structure of Hf2V2Fe15 (PBE).

Cell lengths 6.279, 6.279, 6.279 Å; angles 81.34, 81.34, 81.34 degrees
Site moments in Bohr magnetons follow the coordinates.
Atoms (fractional coordinates):
1 Fe 0.313 0.000 0.687  2.14
2 Fe 0.687 0.313 0.000  2.14
3 Fe 0.000 0.000 0.500  1.75
4 Fe 0.000 0.313 0.687  2.14
5 Fe 0.658 0.658 0.163  1.81
6 Fe 0.837 0.342 0.342  1.81
7 Fe 0.342 0.837 0.342  1.81
8 Fe 0.687 0.000 0.313  2.14
9 Hf 0.344 0.344 0.344  -0.36
10 Fe 0.313 0.687 0.000  2.14
11 Hf 0.656 0.656 0.656  -0.36
12 V 0.904 0.904 0.904  -0.85
13 Fe 0.500 0.000 0.000  1.75
14 Fe 0.000 0.687 0.313  2.14
15 V 0.096 0.096 0.096  -0.85
16 Fe 0.163 0.658 0.658  1.81
17 Fe 0.000 0.500 0.000  1.75
18 Fe 0.658 0.163 0.658  1.81
19 Fe 0.342 0.342 0.837  1.81

Energy of formation from the pure elements in eV per atom: -0.083
Total magnetic moment in μB per atom: 1.363
SG: R-3m (166)
Calculated total energy in eV per formula unit: -166.67

Entry 2:
Entry from Alexandria via LeMat-Bulk: an optimized crystal structure of HfVFe3 (PBE).

Cell lengths 4.186, 4.186, 4.186 Å; angles 90.00, 90.00, 90.00 degrees
Site moments in Bohr magnetons follow the coordinates.
Atoms (fractional coordinates):
1 Fe 0.000 0.000 0.500  0.62
2 Fe 0.500 0.000 0.000  0.62
3 Hf 0.500 0.500 0.500  -0.20
4 Fe 0.000 0.500 0.000  0.62
5 V 0.000 0.000 0.000  -0.37

Polymorph energy (0 for the lowest one) in kJ/mol of atoms: 0.0
Energy of formation from the pure elements in eV per atom: 0.595
Total magnetic moment in μB per atom: 0.237
SG: Pm-3m (221)
Calculated total energy in eV per formula unit: -41.48

Entry 3:
Entry from Alexandria via LeMat-Bulk: an optimized crystal structure of HfV3Fe (PBE).

Cell lengths 4.341, 4.341, 4.341 Å; angles 90.00, 90.00, 90.00 degrees
Site moments in Bohr magnetons follow the coordinates.
Atoms (fractional coordinates):
1 V 0.500 0.000 0.000  0.29
2 V 0.000 0.500 0.000  0.29
3 Fe 0.000 0.000 0.000  -0.01
4 V 0.000 0.000 0.500  0.29
5 Hf 0.500 0.500 0.500  0.07

Polymorph energy (0 for the lowest one) in kJ/mol of atoms: 0.0
Energy of formation from the pure elements in eV per atom: 0.511
Total magnetic moment in μB per atom: 0.220
SG: Pm-3m (221)
Calculated total energy in eV per formula unit: -43.22

Entry 4:
Entry from Alexandria via LeMat-Bulk: an optimized crystal structure of Hf3VFe (PBE).

Cell lengths 4.752, 4.752, 4.752 Å; angles 90.00, 90.00, 90.00 degrees
Site moments in Bohr magnetons follow the coordinates.
Atoms (fractional coordinates):
1 Hf 0.500 0.000 0.000  -0.11
2 Fe 0.000 0.000 0.000  0.19
3 Hf 0.000 0.500 0.000  -0.11
4 Hf 0.000 0.000 0.500  -0.11
5 V 0.500 0.500 0.500  2.53

Polymorph energy (0 for the lowest one) in kJ/mol of atoms: 0.0
Energy of formation from the pure elements in eV per atom: 0.510
Total magnetic moment in μB per atom: 0.561
SG: Pm-3m (221)
Calculated total energy in eV per formula unit: -44.89

Entry 5:
Entry from Alexandria via LeMat-Bulk: an optimized crystal structure of HfVFe (PBE).

Cell lengths 5.865, 5.865, 5.865 Å; angles 90.00, 90.00, 90.00 degrees
Atoms (fractional coordinates):
1 V 0.995 0.495 0.005
2 Fe 0.753 0.253 0.247
3 Fe 0.253 0.247 0.753
4 Hf 0.996 0.996 0.996
5 V 0.495 0.005 0.995
6 Fe 0.747 0.747 0.747
7 V 0.005 0.995 0.495
8 Hf 0.496 0.504 0.004
9 V 0.505 0.505 0.505
10 Hf 0.004 0.496 0.504
11 Hf 0.504 0.004 0.496
12 Fe 0.247 0.753 0.253

Polymorph energy (0 for the lowest one) in kJ/mol of atoms: 45.1
Energy of formation from the pure elements in eV per atom: 0.209
Total magnetic moment in μB per atom: 0.000
SG: P2_13 (198)
Calculated total energy in eV per formula unit: -26.91

Entry 6:
Entry from Alexandria via LeMat-Bulk: an optimized crystal structure of HfVFe4 (PBE).

Cell lengths 4.821, 4.821, 4.821 Å; angles 60.00, 60.00, 60.00 degrees
Site moments in Bohr magnetons follow the coordinates.
Atoms (fractional coordinates):
1 Fe 0.625 0.625 0.625  1.86
2 Fe 0.126 0.625 0.625  1.86
3 Fe 0.625 0.625 0.126  1.86
4 Fe 0.625 0.126 0.625  1.86
5 Hf 0.000 0.000 0.000  -0.35
6 V 0.250 0.250 0.250  -1.41

Energy of formation from the pure elements in eV per atom: -0.180
Total magnetic moment in μB per atom: 0.894
SG: F-43m (216)
Calculated total energy in eV per formula unit: -54.00

Entry 7:
Entry from Alexandria via LeMat-Bulk: an optimized crystal structure of HfV2Fe9 (PBE).

Cell lengths 4.727, 4.727, 8.216 Å; angles 73.28, 73.28, 60.00 degrees
Site moments in Bohr magnetons follow the coordinates.
Atoms (fractional coordinates):
1 Fe 0.500 0.500 0.500  1.44
2 Fe 0.666 0.666 0.001  1.95
3 Fe 0.081 0.590 0.739  1.66
4 Fe 0.590 0.081 0.739  1.66
5 V 0.858 0.858 0.426  -1.34
6 Fe 0.334 0.334 0.999  1.95
7 Fe 0.410 0.410 0.261  1.66
8 V 0.142 0.142 0.574  -1.34
9 Hf 0.000 0.000 0.000  -0.30
10 Fe 0.410 0.919 0.261  1.66
11 Fe 0.919 0.410 0.261  1.66
12 Fe 0.590 0.590 0.739  1.66

Energy of formation from the pure elements in eV per atom: -0.083
Total magnetic moment in μB per atom: 0.981
SG: R-3m (166)
Calculated total energy in eV per formula unit: -105.35

Entry 8:
Entry from Alexandria via LeMat-Bulk: an optimized crystal structure of Hf5VFe4 (PBE).

Cell lengths 3.141, 3.141, 16.076 Å; angles 90.00, 90.00, 90.00 degrees
Atoms (fractional coordinates):
1 Fe 0.000 0.000 0.597
2 Hf 0.500 0.500 0.890
3 Hf 0.500 0.500 0.695
4 Hf 0.500 0.500 0.305
5 Hf 0.500 0.500 0.500
6 Fe 0.000 0.000 0.209
7 Fe 0.000 0.000 0.403
8 Hf 0.500 0.500 0.110
9 V 0.000 0.000 0.000
10 Fe 0.000 0.000 0.791

Energy of formation from the pure elements in eV per atom: -0.221
Total magnetic moment in μB per atom: 0.000
SG: P4/mmm (123)
Calculated total energy in eV per formula unit: -94.95